This record from OQMD describes crystalline ErCuSnTe3 at its relaxed geometry. The functional is PBE-GGA.

The structure in POSCAR format:
```
ErCuSnTe3
1.0
14.449 0.000 0.000
0.000 4.234 0.000
0.000 0.000 11.549
Cu Er Sn Te
4 4 4 12
Cartesian
0.103 1.058 0.943
7.328 1.058 4.831
7.121 3.175 6.718
14.345 3.175 10.605
7.354 3.175 2.010
0.130 3.175 3.764
14.319 1.058 7.784
7.094 1.058 9.539
3.096 3.175 0.558
10.320 3.175 5.216
4.129 1.058 6.333
11.353 1.058 10.990
5.585 1.058 0.674
12.868 3.175 1.302
2.081 1.058 2.783
9.305 1.058 2.991
5.644 3.175 4.472
12.809 1.058 5.100
1.639 3.175 6.448
8.804 1.058 7.077
5.144 3.175 8.557
12.368 3.175 8.766
1.580 1.058 10.246
8.864 3.175 10.875
```

Summary:
Space group   Pnma, No. 62
Polymorph energy (0 for the lowest one)   0.05 eV per formula unit

***

This record from OQMD describes crystalline BMoPt2 at its relaxed geometry. The functional is PBE-GGA.

The structure in POSCAR format:
```
BMoPt2
1.0
0.000 3.025 3.025
3.025 0.000 3.025
3.025 3.025 0.000
B Mo Pt
1 1 2
Cartesian
3.025 3.025 3.025
1.512 1.512 1.512
0.000 0.000 0.000
4.537 4.537 4.537
```

Summary:
Space group   F-43m, No. 216

***

This record from OQMD describes crystalline ZnNiSn2 at its relaxed geometry. The functional is PBE-GGA.

The structure in POSCAR format:
```
ZnNiSn2
1.0
0.000 3.404 3.404
3.404 0.000 3.404
3.404 3.404 0.000
Ni Sn Zn
1 2 1
Cartesian
3.404 3.404 3.404
0.000 0.000 0.000
5.106 5.106 5.106
1.702 1.702 1.702
```

Summary:
Space group   F-43m, No. 216

***

This record from OQMD describes crystalline AgSnTe at its relaxed geometry. The functional is PBE-GGA.

The structure in POSCAR format:
```
AgSnTe
1.0
0.000 3.579 3.579
3.579 0.000 3.579
3.579 3.579 0.000
Ag Sn Te
1 1 1
Cartesian
1.789 1.789 1.789
5.368 5.368 5.368
0.000 0.000 0.000
```

Summary:
Space group   F-43m, No. 216

***

This record from OQMD describes crystalline GdEr2Mg3Tl2Cd at its relaxed geometry. The functional is PBE-GGA.

The structure in POSCAR format:
```
GdEr2Mg3Tl2Cd
1.0
4.614 0.000 0.000
0.000 6.558 3.755
0.000 -6.558 3.755
Cd Er Gd Mg Tl
1 2 1 3 2
Cartesian
0.000 0.000 0.031
0.000 3.758 5.352
0.000 -3.758 5.352
0.000 0.000 4.294
2.307 4.985 2.857
2.307 0.000 1.804
2.307 -4.985 2.857
2.307 2.208 3.746
2.307 -2.208 3.746
```

Summary:
Space group   Amm2, No. 38

***

This record from OQMD describes crystalline AcNiHg at its relaxed geometry. The functional is PBE-GGA.

The structure in POSCAR format:
```
AcNiHg
1.0
8.671 -2.068 0.000
8.671 2.068 0.000
-0.016 0.000 4.212
Ac Hg Ni
2 2 2
Cartesian
1.704 0.000 1.061
15.621 0.000 3.152
5.151 0.000 1.042
12.174 0.000 3.170
8.025 0.000 1.050
9.300 0.000 3.162
```

Summary:
Space group   C2/m, No. 12
Calculated formation energy   -399 meV/atom
Polymorph energy (0 for the lowest one)   0.00 eV per formula unit

***

This record from OQMD describes crystalline Cs2Tb2Te3Se at its relaxed geometry. The functional is PBE-GGA.

The structure in POSCAR format:
```
Cs2Tb2Te3Se
1.0
-0.308 -0.714 -4.420
-2.395 -2.506 2.850
-13.226 11.562 -0.948
Cs Se Tb Te
2 1 2 3
Cartesian
-3.254 2.844 -0.233
-11.049 7.470 -2.716
-12.012 10.500 -0.861
-8.332 3.889 -0.048
-14.801 9.544 -0.512
-2.197 -0.268 -2.082
-6.336 3.350 -2.379
-7.945 6.945 -0.569
```

Summary:
Space group   P3m1, No. 156

***

This record from OQMD describes crystalline LaNpIn at its relaxed geometry. The functional is PBE-GGA.

The structure in POSCAR format:
```
LaNpIn
1.0
0.000 3.754 3.754
3.754 0.000 3.754
3.754 3.754 0.000
In La Np
1 1 1
Cartesian
0.000 0.000 0.000
1.877 1.877 1.877
5.631 5.631 5.631
```

Summary:
Space group   F-43m, No. 216
Polymorph energy (0 for the lowest one)   0.00 eV per formula unit

***

VASP energy for every record listed, in sequence, given in eV/cell: -102.29, -28.09, -13.61, -9.44, -26.89, -22.34, -35.63, -19.13.